Entry 1:
Here is an optimized crystal structure of Pm6TcPb2 from Alexandria. Energies are from PBE-GGA.

Properties
Total energy in eV per atom: -5.450
DOS at the Fermi energy in states/eV/f.u.: 9.7
Formation enthalpy at 0 K in kcal/mol of atoms: -7.08

a b c (Å): 4.469 8.374 8.374
angles (deg): 120.00 90.00 90.00
Positions (direct):
Pm (0.500, 0.596, 0.000)
Pm (0.500, 0.404, 0.404)
Pm (0.500, 0.000, 0.596)
Pm (0.000, 0.235, 0.000)
Pm (0.000, 0.765, 0.765)
Pm (0.000, 0.000, 0.235)
Tc (0.500, 0.000, 0.000)
Pb (0.000, 0.333, 0.667)
Pb (0.000, 0.667, 0.333)

---

Entry 2:
Here is an optimized crystal structure of CaZnCoBr2 from Alexandria. Energies are from PBE-GGA.

Properties
Total energy in eV per atom: -2.734
DOS at the Fermi energy in states/eV/f.u.: 5.0
Uncorrected formation energy in eV/f.u.: 0.1

a b c (Å): 5.271 4.742 5.271
angles (deg): 90.00 90.00 90.00
Each line ends with the local moment (μB).
Positions (direct):
Zn (0.000, 0.000, 0.000)  -0.05
Co (0.000, 0.500, 0.000)  1.60
Ca (0.500, 0.500, 0.500)  -0.06
Br (0.000, 0.000, 0.500)  0.01
Br (0.500, 0.000, 0.000)  0.01

---

Entry 3:
Here is an optimized crystal structure of Pr5PuHg6 from Alexandria. Energies are from PBE-GGA.

Properties
Total energy in eV per atom: -3.747
DOS at the Fermi energy in states/eV/f.u.: 18.5
Formation enthalpy at 0 K in kcal/mol of atoms: -9.47

a b c (Å): 5.432 9.423 9.423
angles (deg): 119.95 106.75 106.75
Each line ends with the local moment (μB).
Positions (direct):
Pr (0.500, 0.163, 0.837)  0.20
Pr (0.000, 0.331, 0.669)  0.18
Pr (0.500, 0.500, 0.500)  0.18
Pr (0.000, 0.669, 0.331)  0.18
Pr (0.500, 0.837, 0.163)  0.20
Hg (0.251, 0.085, 0.417)  0.02
Hg (0.749, 0.583, 0.915)  0.02
Hg (0.752, 0.252, 0.252)  0.02
Hg (0.248, 0.748, 0.748)  0.02
Hg (0.251, 0.417, 0.085)  0.02
Hg (0.749, 0.915, 0.583)  0.02
Pu (0.000, 0.000, 0.000)  5.59

---

Entry 4:
Here is an optimized crystal structure of CuSiHg2 from Alexandria. Energies are from PBE-GGA.

Properties
Total energy in eV per atom: -2.113
DOS at the Fermi energy in states/eV/f.u.: 1.1
Uncorrected formation energy in eV/f.u.: 1.7

a b c (Å): 4.440 4.440 5.874
angles (deg): 77.76 77.76 43.81
Positions (direct):
Cu (0.250, 0.250, 0.250)
Hg (0.995, 0.995, 0.010)
Hg (0.505, 0.505, 0.490)
Si (0.750, 0.750, 0.750)

---

The highest total energy belongs to which entry?
CuSiHg2